[1]
## HoErSi2 (PBE-GGA)

Data for a relaxed HoErSi2 crystal.

```
data_HoErSi2
_chemical_formula_sum 'Ho2 Er2 Si4'
_cell_length_a 3.8111
_cell_length_b 4.2394
_cell_length_c 10.4607
_cell_angle_alpha 90.00
_cell_angle_beta 90.00
_cell_angle_gamma 90.00
_symmetry_space_group_name_H-M 'A m m 2'
_symmetry_Int_Tables_number 38
_symmetry_space_group_name_Hall 'A 2 -2'
loop_
_atom_site_label
_atom_site_fract_x
_atom_site_fract_y
_atom_site_fract_z
Ho1 0.0000 0.0000 0.0000
Er1 0.5000 0.0000 0.7187
Si1 0.0000 0.0000 0.2822
Si2 0.5000 0.0000 0.4362
```

Computed properties:
M_tot in μB per atom: 0.002
Energy in eV per atom: -5.824
Crystal system: orthorhombic

[2]
## Ho3ErSi4 (PBE-GGA)

Data for a relaxed Ho3ErSi4 crystal.

```
data_Ho3ErSi4
_chemical_formula_sum 'Ho3 Er1 Si4'
_cell_length_a 5.6652
_cell_length_b 3.8122
_cell_length_c 7.8508
_cell_angle_alpha 90.00
_cell_angle_beta 90.01
_cell_angle_gamma 90.00
_symmetry_space_group_name_H-M 'P 1 m 1'
_symmetry_Int_Tables_number 6
_symmetry_space_group_name_Hall 'P -2y'
loop_
_atom_site_label
_atom_site_fract_x
_atom_site_fract_y
_atom_site_fract_z
Ho1 0.0000 0.0000 0.0000
Ho2 0.2300 0.5000 0.3582
Ho3 0.7300 0.0000 0.5001
Er1 0.4999 0.5000 0.8582
Si1 0.2443 0.0000 0.6411
Si2 0.4858 0.0000 0.1408
Si3 0.7442 0.5000 0.2172
Si4 0.9858 0.5000 0.7173
```

Computed properties:
M_tot in μB per atom: 0.001
Energy in eV per atom: -5.829
Crystal system: monoclinic

[3]
## HoErSi2 (PBE-GGA)

Data for a relaxed HoErSi2 crystal.

```
data_HoErSi2
_chemical_formula_sum 'Ho2 Er2 Si4'
_cell_length_a 3.8136
_cell_length_b 7.8377
_cell_length_c 5.6534
_cell_angle_alpha 90.00
_cell_angle_beta 90.00
_cell_angle_gamma 90.00
_symmetry_space_group_name_H-M 'P m n 21'
_symmetry_Int_Tables_number 31
_symmetry_space_group_name_Hall 'P 2ac -2'
loop_
_atom_site_label
_atom_site_fract_x
_atom_site_fract_y
_atom_site_fract_z
Ho1 0.0000 0.0711 0.0000
Er1 0.0000 0.5707 0.7294
Si1 0.0000 0.2122 0.4841
Si2 0.0000 0.7109 0.2448
```

Computed properties:
M_tot in μB per atom: 0.001
Energy in eV per atom: -5.826
Crystal system: orthorhombic

[4]
## HoErSi2 (PBE-GGA)

Data for a relaxed HoErSi2 crystal.

```
data_HoErSi2
_chemical_formula_sum 'Ho2 Er2 Si4'
_cell_length_a 5.6584
_cell_length_b 3.8080
_cell_length_c 7.8406
_cell_angle_alpha 90.00
_cell_angle_beta 90.01
_cell_angle_gamma 90.00
_symmetry_space_group_name_H-M 'P 1 21/m 1'
_symmetry_Int_Tables_number 11
_symmetry_space_group_name_Hall '-P 2yb'
loop_
_atom_site_label
_atom_site_fract_x
_atom_site_fract_y
_atom_site_fract_z
Ho1 0.1150 0.2500 0.1791
Er1 0.3850 0.2500 0.6790
Si1 0.1294 0.7500 0.4619
Si2 0.3708 0.7500 0.9617
```

Computed properties:
M_tot in μB per atom: 0.001
Energy in eV per atom: -5.826
Crystal system: monoclinic

[5]
## HoErSi2 (PBE-GGA)

Data for a relaxed HoErSi2 crystal.

```
data_HoErSi2
_chemical_formula_sum 'Ho2 Er2 Si4'
_cell_length_a 3.8080
_cell_length_b 5.6584
_cell_length_c 7.8406
_cell_angle_alpha 90.00
_cell_angle_beta 90.00
_cell_angle_gamma 90.00
_symmetry_space_group_name_H-M 'P m c 21'
_symmetry_Int_Tables_number 26
_symmetry_space_group_name_Hall 'P 2c -2'
loop_
_atom_site_label
_atom_site_fract_x
_atom_site_fract_y
_atom_site_fract_z
Ho1 0.0000 0.1350 0.0000
Er1 0.5000 0.3650 0.3581
Si1 0.0000 0.3793 0.6409
Si2 0.5000 0.1207 0.7172
```

Computed properties:
M_tot in μB per atom: 0.001
Energy in eV per atom: -5.826
Crystal system: orthorhombic

[6]
## SmHo2ErTl2 (PBE-GGA)

Data for a relaxed SmHo2ErTl2 crystal.

```
data_SmHo2ErTl2
_chemical_formula_sum 'Sm1 Ho2 Er1 Tl2'
_cell_length_a 5.3988
_cell_length_b 5.3988
_cell_length_c 6.7262
_cell_angle_alpha 90.00
_cell_angle_beta 90.00
_cell_angle_gamma 120.00
_symmetry_space_group_name_H-M 'P -6 m 2'
_symmetry_Int_Tables_number 187
_symmetry_space_group_name_Hall 'P -6 2'
loop_
_atom_site_label
_atom_site_fract_x
_atom_site_fract_y
_atom_site_fract_z
Sm1 0.0000 0.0000 0.0000
Ho1 0.6667 0.3333 0.2557
Er1 0.3333 0.6667 0.5000
Tl1 0.0000 0.0000 0.5000
Tl2 0.3333 0.6667 0.0000
```

Computed properties:
M_tot in μB per atom: 0.228
Energy in eV per atom: -4.113
Crystal system: hexagonal

Among the records above, which one has the highest energy?
SmHo2ErTl2

Number 5 is which compound?
HoErSi2